Computed, not measured: a relaxed Mg6SnSb crystal at the PBE-GGA level of DFT.

extended XYZ file:
```
8
Lattice="5.4119 0.0000 0.0000 0.0000 3.1759 5.4992 0.0000 -3.1759 5.4992" Properties=species:S:1:pos:R:3 pbc="T T T"
Mg 0.0000 0.0000 0.0000
Mg 0.0000 -1.5935 8.2187
Mg 0.0000 0.0000 5.4874
Mg 0.0000 1.5935 8.2187
Mg 2.7060 -1.5893 6.4239
Mg 2.7060 1.5893 6.4239
Sn 2.7060 0.0000 9.1904
Sb 2.7060 0.0000 3.6861
```

Calculated values
The crystal system is orthorhombic. The value obtained for the formation energy without anion corrections is -0.069 eV per atom. The value obtained for the total energy is -18.24 eV/f.u. As for the space group: Amm2.

=====

Computed, not measured: a relaxed MgSnSb3 crystal at the PBE-GGA level of DFT.

extended XYZ file:
```
5
Lattice="5.3912 0.0000 0.0000 0.0000 5.3912 0.0000 0.0000 0.0000 5.3912" Properties=species:S:1:pos:R:3 pbc="T T T"
Mg 0.0000 0.0000 0.0000
Sn 2.6956 2.6956 2.6956
Sb 0.0000 0.0000 2.6956
Sb 0.0000 2.6956 0.0000
Sb 2.6956 0.0000 0.0000
```

Calculated values
For the energy above the most stable polymorph in this dataset, the calculation gives 0 meV per atom. The crystal system is cubic. The value obtained for the formation energy without anion corrections is 0.496 eV per atom. The value obtained for the total energy is -15.48 eV/f.u. As for the space group: Pm-3m.

=====

Computed, not measured: a relaxed MgSn2Sb2 crystal at the PBE-GGA level of DFT.

extended XYZ file:
```
5
Lattice="-2.0999 2.0999 8.2481 2.0999 -2.0999 8.2481 2.0999 2.0999 -8.2481" Properties=species:S:1:pos:R:3 pbc="T T T"
Mg 0.0000 0.0000 0.0000
Sn 2.0999 0.0000 4.1241
Sn 0.0000 2.0999 4.1241
Sb 0.0000 0.0000 6.7790
Sb 0.0000 0.0000 9.7172
```

Calculated values
For the energy above the most stable polymorph in this dataset, the calculation gives 57 meV per atom. The crystal system is tetragonal. The value obtained for the formation energy without anion corrections is 0.108 eV per atom. The value obtained for the total energy is -17.30 eV/f.u. As for the space group: I4/mmm.

=====

Computed, not measured: a relaxed Mg2Sn2Sb crystal at the PBE-GGA level of DFT.

extended XYZ file:
```
5
Lattice="-2.3876 2.3876 6.0149 2.3876 -2.3876 6.0149 2.3876 2.3876 -6.0149" Properties=species:S:1:pos:R:3 pbc="T T T"
Mg 2.3876 0.0000 3.0075
Mg 0.0000 2.3876 3.0075
Sn 0.0000 0.0000 1.3628
Sn 0.0000 0.0000 10.6670
Sb 0.0000 0.0000 6.0149
```

Calculated values
For the energy above the most stable polymorph in this dataset, the calculation gives 161 meV per atom. The crystal system is tetragonal. The value obtained for the formation energy without anion corrections is 0.127 eV per atom. The value obtained for the total energy is -14.68 eV/f.u. As for the space group: I4/mmm.

=====

Computed, not measured: a relaxed MgSn2Sb crystal at the PBE-GGA level of DFT.

extended XYZ file:
```
4
Lattice="0.0000 3.7548 3.7548 3.7548 0.0000 3.7548 3.7548 3.7548 0.0000" Properties=species:S:1:pos:R:3 pbc="T T T"
Mg 0.0000 0.0000 0.0000
Sn 1.8774 1.8774 1.8774
Sn 5.6323 5.6323 5.6323
Sb 3.7548 3.7548 3.7548
```

Calculated values
For the energy above the most stable polymorph in this dataset, the calculation gives 78 meV per atom. The crystal system is cubic. The value obtained for the formation energy without anion corrections is 0.075 eV per atom. The value obtained for the total energy is -13.42 eV/f.u. As for the space group: Fm-3m.

=====

Computed, not measured: a relaxed MgSn2Sb crystal at the PBE-GGA level of DFT.

extended XYZ file:
```
8
Lattice="-3.4140 3.4140 6.3142 3.4140 -3.4140 6.3142 3.4140 3.4140 -6.3142" Properties=species:S:1:pos:R:3 pbc="T T T"
Mg 0.0000 0.0000 0.0000
Mg 0.0000 3.4140 3.1571
Sn 5.1209 1.6910 -1.5785
Sn 1.6910 1.7070 1.5785
Sn -1.7070 1.7230 4.7356
Sn 1.7230 1.7070 7.8927
Sb 3.4140 0.0000 3.1571
Sb 0.0000 0.0000 6.3142
```

Calculated values
For the energy above the most stable polymorph in this dataset, the calculation gives 131 meV per atom. The crystal system is tetragonal. The value obtained for the formation energy without anion corrections is 0.128 eV per atom. The value obtained for the total energy is -13.21 eV/f.u. As for the space group: I-42d.

=====

Computed, not measured: a relaxed Mg4Sn2Sb crystal at the PBE-GGA level of DFT.

extended XYZ file:
```
7
Lattice="-2.7295 2.7295 7.2906 2.7295 -2.7295 7.2906 2.7295 2.7295 -7.2906" Properties=species:S:1:pos:R:3 pbc="T T T"
Mg 2.7295 0.0000 0.0000
Mg 0.0000 0.0000 2.8244
Mg 0.0000 2.7295 0.0000
Mg 0.0000 0.0000 11.7569
Sn 0.0000 0.0000 5.6514
Sn 0.0000 0.0000 8.9299
Sb 0.0000 0.0000 0.0000
```

Calculated values
The crystal system is tetragonal. The value obtained for the formation energy without anion corrections is 0.217 eV per atom. The value obtained for the total energy is -16.99 eV/f.u. As for the space group: I4/mmm.

=====

Computed, not measured: a relaxed MgSn4Sb5 crystal at the PBE-GGA level of DFT.

extended XYZ file:
```
20
Lattice="4.5373 0.0000 0.0000 -2.2687 3.9294 0.0000 0.0000 0.0000 43.6798" Properties=species:S:1:pos:R:3 pbc="T T T"
Mg 0.0000 0.0000 0.0000
Mg 0.0000 0.0000 7.7081
Sn 0.0000 0.0000 16.5212
Sn 0.0000 0.0000 25.8867
Sn 0.0000 0.0000 35.1738
Sn 0.0000 2.6196 3.4644
Sn 0.0000 2.6196 11.2797
Sn 0.0000 2.6196 20.7691
Sn 0.0000 2.6196 30.1365
Sn 0.0000 2.6196 39.4421
Sb 0.0000 0.0000 4.7431
Sb 0.0000 0.0000 12.5860
Sb 0.0000 0.0000 22.0573
Sb 0.0000 0.0000 31.4229
Sb 0.0000 0.0000 40.7027
Sb 0.0000 2.6196 0.6763
Sb 0.0000 2.6196 8.4636
Sb 0.0000 2.6196 17.8821
Sb 0.0000 2.6196 27.2455
Sb 0.0000 2.6196 36.5400
```

Calculated values
The crystal system is trigonal. The value obtained for the formation energy without anion corrections is 0.027 eV per atom. The value obtained for the total energy is -37.95 eV/f.u. As for the space group: P3m1.

=====

Computed, not measured: a relaxed MgSn2Sb crystal at the PBE-GGA level of DFT.

extended XYZ file:
```
4
Lattice="4.4992 0.0000 0.0000 0.0000 4.4992 0.0000 0.0000 0.0000 5.2007" Properties=species:S:1:pos:R:3 pbc="T T T"
Mg 0.0000 0.0000 0.0000
Sn 0.0000 2.2496 2.6003
Sn 2.2496 0.0000 2.6003
Sb 2.2496 2.2496 0.0000
```

Calculated values
For the energy above the most stable polymorph in this dataset, the calculation gives 0 meV per atom. The crystal system is tetragonal. The value obtained for the formation energy without anion corrections is -0.003 eV per atom. The value obtained for the total energy is -13.74 eV/f.u. As for the space group: P4/mmm.

=====

Computed, not measured: a relaxed Mg2Sn2Sb crystal at the PBE-GGA level of DFT.

extended XYZ file:
```
10
Lattice="8.9692 0.0000 0.0000 0.0000 8.9692 0.0000 0.0000 0.0000 3.1775" Properties=species:S:1:pos:R:3 pbc="T T T"
Mg 1.1981 3.2865 0.0000
Mg 3.2865 7.7711 0.0000
Mg 5.6827 1.1981 0.0000
Mg 7.7711 5.6827 0.0000
Sn 1.4814 5.9660 1.5888
Sn 3.0032 1.4814 1.5888
Sn 5.9660 7.4878 1.5888
Sn 7.4878 3.0032 1.5888
Sb 0.0000 0.0000 1.5888
Sb 4.4846 4.4846 1.5888
```

Calculated values
For the energy above the most stable polymorph in this dataset, the calculation gives 0 meV per atom. The crystal system is tetragonal. The value obtained for the formation energy without anion corrections is -0.034 eV per atom. The value obtained for the total energy is -15.49 eV/f.u. As for the space group: P4/mbm.

=====

Computed, not measured: a relaxed MgSnSb2 crystal at the PBE-GGA level of DFT.

extended XYZ file:
```
4
Lattice="2.1716 1.2538 6.8552 -2.1716 1.2538 6.8552 0.0000 -2.5076 6.8552" Properties=species:S:1:pos:R:3 pbc="T T T"
Mg 0.0000 0.0000 0.0000
Sn 0.0000 0.0000 10.2828
Sb 0.0000 0.0000 5.2317
Sb 0.0000 0.0000 15.3340
```

Calculated values
The crystal system is trigonal. The value obtained for the formation energy without anion corrections is -0.059 eV per atom. The value obtained for the total energy is -14.08 eV/f.u. As for the space group: R-3m.

=====

Computed, not measured: a relaxed Mg7Sn2Sb crystal at the PBE-GGA level of DFT.

extended XYZ file:
```
10
Lattice="-2.4479 2.4479 10.6539 2.4479 -2.4479 10.6539 2.4479 2.4479 -10.6539" Properties=species:S:1:pos:R:3 pbc="T T T"
Mg 0.0000 0.0000 0.0000
Mg 2.4479 0.0000 1.9399
Mg 2.4479 0.0000 5.3269
Mg 2.4479 0.0000 8.7140
Mg 0.0000 2.4479 1.9399
Mg 0.0000 2.4479 5.3269
Mg 0.0000 2.4479 8.7140
Sn 0.0000 0.0000 3.6041
Sn 0.0000 0.0000 17.7037
Sb 0.0000 0.0000 10.6539
```

Calculated values
The crystal system is tetragonal. The value obtained for the formation energy without anion corrections is -0.108 eV per atom. The value obtained for the total energy is -24.37 eV/f.u. As for the space group: I4/mmm.

=====

Computed, not measured: a relaxed Mg2SnSb2 crystal at the PBE-GGA level of DFT.

extended XYZ file:
```
10
Lattice="8.7091 0.0000 0.0000 0.0000 8.7091 0.0000 0.0000 0.0000 3.4223" Properties=species:S:1:pos:R:3 pbc="T T T"
Mg 1.1620 3.1926 0.0000
Mg 3.1926 7.5471 0.0000
Mg 5.5165 1.1620 0.0000
Mg 7.5471 5.5165 0.0000
Sn 0.0000 0.0000 1.7112
Sn 4.3545 4.3545 1.7112
Sb 1.4398 5.7944 1.7112
Sb 2.9147 1.4398 1.7112
Sb 5.7944 7.2693 1.7112
Sb 7.2693 2.9147 1.7112
```

Calculated values
For the energy above the most stable polymorph in this dataset, the calculation gives 0 meV per atom. The crystal system is tetragonal. The value obtained for the formation energy without anion corrections is -0.129 eV per atom. The value obtained for the total energy is -16.08 eV/f.u. As for the space group: P4/mbm.

=====

Computed, not measured: a relaxed MgSn2Sb crystal at the PBE-GGA level of DFT.

extended XYZ file:
```
4
Lattice="1.6519 0.9537 11.6822 -1.6519 0.9537 11.6822 0.0000 -1.9075 11.6822" Properties=species:S:1:pos:R:3 pbc="T T T"
Mg 0.0000 0.0000 0.0000
Sn 0.0000 0.0000 2.9750
Sn 0.0000 0.0000 32.0715
Sb 0.0000 0.0000 17.5232
```

Calculated values
For the energy above the most stable polymorph in this dataset, the calculation gives 164 meV per atom. The crystal system is trigonal. The value obtained for the formation energy without anion corrections is 0.161 eV per atom. The value obtained for the total energy is -13.08 eV/f.u. As for the space group: R-3m.

=====

Computed, not measured: a relaxed MgSn2Sb2 crystal at the PBE-GGA level of DFT.

extended XYZ file:
```
10
Lattice="8.4427 0.0000 0.0000 0.0000 8.4427 0.0000 0.0000 0.0000 3.9445" Properties=species:S:1:pos:R:3 pbc="T T T"
Mg 0.0000 0.0000 0.0000
Mg 4.2213 4.2213 0.0000
Sn 1.1837 3.0377 0.0000
Sn 3.0377 7.2590 0.0000
Sn 5.4050 1.1837 0.0000
Sn 7.2590 5.4050 0.0000
Sb 1.3524 5.5738 1.9723
Sb 2.8689 1.3524 1.9723
Sb 5.5738 7.0902 1.9723
Sb 7.0902 2.8689 1.9723
```

Calculated values
For the energy above the most stable polymorph in this dataset, the calculation gives 57 meV per atom. The crystal system is tetragonal. The value obtained for the formation energy without anion corrections is 0.108 eV per atom. The value obtained for the total energy is -17.31 eV/f.u. As for the space group: P4/mbm.

=====

Computed, not measured: a relaxed MgSn2Sb2 crystal at the PBE-GGA level of DFT.

extended XYZ file:
```
10
Lattice="8.2619 0.0000 0.0000 0.0000 8.2619 0.0000 0.0000 0.0000 4.1708" Properties=species:S:1:pos:R:3 pbc="T T T"
Mg 0.0000 0.0000 0.0000
Mg 4.1309 4.1309 0.0000
Sn 1.1703 2.9606 2.0854
Sn 2.9606 7.0915 2.0854
Sn 5.3013 1.1703 2.0854
Sn 7.0915 5.3013 2.0854
Sb 1.3930 5.5239 0.0000
Sb 2.7379 1.3930 0.0000
Sb 5.5239 6.8689 0.0000
Sb 6.8689 2.7379 0.0000
```

Calculated values
For the energy above the most stable polymorph in this dataset, the calculation gives 0 meV per atom. The crystal system is tetragonal. The value obtained for the formation energy without anion corrections is 0.051 eV per atom. The value obtained for the total energy is -17.59 eV/f.u. As for the space group: P4/mbm.

=====

Computed, not measured: a relaxed Mg2SnSb2 crystal at the PBE-GGA level of DFT.

extended XYZ file:
```
5
Lattice="-2.2346 2.2346 7.0204 2.2346 -2.2346 7.0204 2.2346 2.2346 -7.0204" Properties=species:S:1:pos:R:3 pbc="T T T"
Mg 2.2346 0.0000 3.5102
Mg 0.0000 2.2346 3.5102
Sn 0.0000 0.0000 0.0000
Sb 0.0000 0.0000 5.3759
Sb 0.0000 0.0000 8.6650
```

Calculated values
For the energy above the most stable polymorph in this dataset, the calculation gives 73 meV per atom. The crystal system is tetragonal. The value obtained for the formation energy without anion corrections is -0.056 eV per atom. The value obtained for the total energy is -15.72 eV/f.u. As for the space group: I4/mmm.

=====

Computed, not measured: a relaxed MgSnSb2 crystal at the PBE-GGA level of DFT.

extended XYZ file:
```
4
Lattice="2.2477 1.2977 6.6004 -2.2477 1.2977 6.6004 0.0000 -2.5954 6.6004" Properties=species:S:1:pos:R:3 pbc="T T T"
Mg 0.0000 0.0000 0.0000
Sn 0.0000 0.0000 16.4603
Sb 0.0000 0.0000 7.9895
Sb 0.0000 0.0000 11.6990
```

Calculated values
The crystal system is trigonal. The value obtained for the formation energy without anion corrections is -0.018 eV per atom. The value obtained for the total energy is -13.91 eV/f.u. As for the space group: R3m.

=====

Computed, not measured: a relaxed MgSnSb2 crystal at the PBE-GGA level of DFT.

extended XYZ file:
```
4
Lattice="3.9823 0.0000 0.0000 0.0000 3.9823 0.0000 0.0000 0.0000 6.6350" Properties=species:S:1:pos:R:3 pbc="T T T"
Mg 0.0000 0.0000 0.0000
Sn 0.0000 0.0000 3.3175
Sb 1.9912 1.9912 1.5051
Sb 1.9912 1.9912 5.1299
```

Calculated values
The crystal system is tetragonal. The value obtained for the formation energy without anion corrections is -0.017 eV per atom. The value obtained for the total energy is -13.91 eV/f.u. As for the space group: P4/mmm.

=====

Computed, not measured: a relaxed MgSn2Sb2 crystal at the PBE-GGA level of DFT.

extended XYZ file:
```
5
Lattice="-2.2079 2.2079 7.7595 2.2079 -2.2079 7.7595 2.2079 2.2079 -7.7595" Properties=species:S:1:pos:R:3 pbc="T T T"
Mg 0.0000 0.0000 0.0000
Sn 0.0000 0.0000 6.2691
Sn 0.0000 0.0000 9.2499
Sb 2.2079 0.0000 3.8798
Sb 0.0000 2.2079 3.8798
```

Calculated values
For the energy above the most stable polymorph in this dataset, the calculation gives 158 meV per atom. The crystal system is tetragonal. The value obtained for the formation energy without anion corrections is 0.210 eV per atom. The value obtained for the total energy is -16.80 eV/f.u. As for the space group: I4/mmm.